Density functional theory data (SCAN) for a crystal of ZnMo2O4 relaxed with PBEsol.

Summary:
**DOS(E_F)**: 0.73 states/eV/f.u.
**Formation energy from raw total energies**: -1.7154 eV/atom
**Distance to the lowest polymorph of the same formula**: 0 meV per atom

The structure in POSCAR format:
```
ZnMo2O4
1.0
5.8954 0.0000 0.0000
-2.9477 5.1065 0.0515
0.0000 -0.1615 15.2952
Zn O Mo
6 24 12
Cartesian
0.0000 -0.0924 9.2393
0.0000 -0.0532 5.3857
0.0000 0.0039 0.0686
0.0000 3.2969 10.8003
2.9477 1.6545 4.6503
0.0000 3.2574 14.4977
-1.3335 2.5923 4.0632
2.9477 3.4207 1.4731
1.4234 2.4661 11.6243
4.2518 0.8603 8.9082
-1.4234 2.4661 11.6243
1.5658 4.2441 6.4725
1.6436 0.8603 8.9082
4.4479 0.8194 1.4474
1.6075 4.1927 13.9973
1.4474 0.8194 1.4474
-1.6075 4.1927 13.9973
0.0000 1.5317 6.4458
0.0000 4.9327 11.6482
0.0000 1.4057 13.9698
0.0000 -0.1120 11.1866
1.3335 2.5923 4.0632
0.0000 4.9033 4.0868
2.9477 1.5658 13.7245
0.0000 3.3147 8.9994
2.9477 3.1195 8.9313
0.0000 3.3915 1.1888
2.9477 1.6359 6.6194
-1.5658 4.2441 6.4725
0.0000 -0.0366 3.5155
-1.2733 4.1127 2.6168
0.0000 3.3486 5.5651
-1.3218 2.5649 7.6469
0.0000 1.9059 2.5945
1.3224 0.6376 12.5776
1.3218 2.5649 7.6469
1.2733 4.1127 2.6168
0.0000 4.8545 7.6699
2.9477 3.4533 12.6059
2.9477 1.6992 0.4136
4.5730 0.6376 12.5776
2.9477 1.5968 10.5730
```